A relaxed structure of Li2HoUS6. Source: the Alexandria database, functional PBE-GGA.

Unit cell a=6.5703 b=7.1668 c=9.3512 alpha=90.00 beta=88.79 gamma=90.00
Closest atoms and distances in Å follow each position.
Element x y z (fractional)
1 S 0.1663 0.4422 0.7580  1 U 2.53, 1 Li 2.65, 1 Ho 2.70
2 Li 0.5359 0.5912 0.7540  6 S 2.65-2.87
3 S 0.1699 0.1988 0.0908  1 U 2.58, 2 Li 2.71-2.87, 1 Ho 2.72
4 S 0.3301 0.6988 0.4092  1 U 2.58, 2 Li 2.71-2.87, 1 Ho 2.72
5 U 0.5000 0.0000 0.5000  6 S 2.53-2.58
6 Li 0.0359 0.9088 0.2540  6 S 2.65-2.87
7 S 0.1972 0.1878 0.4109  1 U 2.56, 1 Ho 2.71, 2 Li 2.71-2.80
8 S 0.8301 0.8012 0.9092  1 U 2.58, 2 Li 2.71-2.87, 1 Ho 2.72
9 S 0.3028 0.6878 0.0891  1 U 2.56, 1 Ho 2.71, 2 Li 2.71-2.80
10 S 0.3337 0.9422 0.7420  1 U 2.53, 1 Li 2.65, 1 Ho 2.70
11 Li 0.4641 0.4088 0.2460  6 S 2.65-2.87
12 Ho 0.0000 0.5000 0.5000  6 S 2.70-2.72
13 Ho 0.5000 0.0000 0.0000  6 S 2.70-2.72
14 S 0.6699 0.3012 0.5908  1 U 2.58, 2 Li 2.71-2.87, 1 Ho 2.72
15 S 0.6972 0.3122 0.9109  1 U 2.56, 1 Ho 2.71, 2 Li 2.71-2.80
16 S 0.6663 0.0578 0.2580  1 U 2.53, 1 Li 2.65, 1 Ho 2.70
17 U 0.0000 0.5000 0.0000  6 S 2.53-2.58
18 S 0.8337 0.5578 0.2420  1 U 2.53, 1 Li 2.65, 1 Ho 2.70
19 Li 0.9641 0.0912 0.7460  6 S 2.65-2.87
20 S 0.8028 0.8122 0.5891  1 U 2.56, 1 Ho 2.71, 2 Li 2.71-2.80

formation energy without anion corrections = -116 kJ/mol of atoms

=====

A relaxed structure of LiHo2US4. Source: the Alexandria database, functional PBE-GGA.

Unit cell a=3.8449 b=6.7275 c=6.7030 alpha=109.20 beta=90.00 gamma=90.00
Closest atoms and distances in Å follow each position.
Element x y z (fractional)
1 Li 0.5000 0.5000 0.0000  6 S 2.70-2.71
2 Ho 0.0000 0.5000 0.5000  6 S 2.72-2.73
3 S 0.0000 0.7445 0.2461  2 Li 2.71, 3 Ho 2.73-2.76, 1 U 2.75
4 S 0.0000 0.2555 0.7539  2 Li 2.71, 3 Ho 2.73-2.76, 1 U 2.75
5 S 0.5000 0.2563 0.2487  1 Li 2.70, 3 Ho 2.72-2.78, 2 U 2.75
6 Ho 0.5000 0.0000 0.5000  6 S 2.76-2.78
7 U 0.0000 0.0000 0.0000  6 S 2.75
8 S 0.5000 0.7437 0.7513  1 Li 2.70, 3 Ho 2.72-2.78, 2 U 2.75

formation energy without anion corrections = -166 kJ/mol of atoms

=====

A relaxed structure of LiHo3U3S8. Source: the Alexandria database, functional PBE-GGA.

Unit cell a=7.6664 b=7.6661 c=7.7892 alpha=119.48 beta=90.00 gamma=120.00
Closest atoms and distances in Å follow each position.
Element x y z (fractional)
1 S 0.7538 0.0004 0.7470  1 Li 2.70, 2 Ho 2.73, 2 U 2.73
2 S 0.2484 0.4968 0.2452  3 Ho 2.71, 3 U 2.75
3 Li 0.0000 0.0000 0.5000  6 S 2.70
4 Ho 0.0000 0.0000 0.0000  6 S 2.71-2.73
5 U 0.0000 0.5000 0.5000  6 S 2.73-2.75
6 S 0.7516 0.5032 0.7548  3 Ho 2.71, 3 U 2.75
7 U 0.5000 0.5000 0.5000  6 S 2.73-2.75
8 U 0.5000 0.0000 0.5000  6 S 2.73-2.75
9 Ho 0.5000 0.5000 0.0000  6 S 2.71-2.73
10 Ho 0.0000 0.5000 0.0000  6 S 2.71-2.73
11 S 0.7534 0.5068 0.2530  1 Li 2.70, 2 Ho 2.73, 2 U 2.73
12 S 0.2462 0.9996 0.2530  1 Li 2.70, 2 Ho 2.73, 2 U 2.73
13 S 0.2466 0.4932 0.7470  1 Li 2.70, 2 Ho 2.73, 2 U 2.73
14 S 0.2467 0.0004 0.7470  1 Li 2.70, 2 Ho 2.73, 2 U 2.73
15 S 0.7533 0.9996 0.2530  1 Li 2.70, 2 Ho 2.73, 2 U 2.73

formation energy without anion corrections = -160 kJ/mol of atoms

=====

A relaxed structure of LiHoUS4. Source: the Alexandria database, functional PBE-GGA.

Unit cell a=8.0015 b=7.9184 c=7.9184 alpha=59.57 beta=59.65 gamma=59.65
Closest atoms and distances in Å follow each position.
Element x y z (fractional)
1 S 0.2460 0.2402 0.7402  1 Li 2.55, 1 U 2.69, 2 Ho 2.73
2 Li 0.3819 0.3681 0.8681  4 S 2.55-2.60
3 S 0.2447 0.2388 0.2718  1 Li 2.60, 2 U 2.72, 1 Ho 2.74
4 Ho 0.0000 0.5000 0.5000  6 S 2.73-2.74
5 S 0.7553 0.2282 0.2612  1 Li 2.60, 2 U 2.72, 1 Ho 2.74
6 U 0.5000 0.0000 0.5000  6 S 2.69-2.72
7 Li 0.6181 0.6319 0.1319  4 S 2.55-2.60
8 S 0.2263 0.7598 0.2598  1 Li 2.55, 1 U 2.69, 2 Ho 2.73
9 S 0.7553 0.7612 0.7282  1 Li 2.60, 2 U 2.72, 1 Ho 2.74
10 U 0.0000 0.0000 0.5000  6 S 2.69-2.72
11 Ho 0.0000 0.0000 0.0000  6 S 2.73-2.74
12 S 0.7737 0.2402 0.7402  1 Li 2.55, 1 U 2.69, 2 Ho 2.73
13 S 0.7540 0.7598 0.2598  1 Li 2.55, 1 U 2.69, 2 Ho 2.73
14 S 0.2447 0.7718 0.7388  1 Li 2.60, 2 U 2.72, 1 Ho 2.74

formation energy without anion corrections = -157 kJ/mol of atoms

=====

no.,VASP energy (eV per atom),N(E_F) (states/eV/f.u.)
1,-5.651,6.42
2,-6.578,6.63
3,-7.163,17.00
4,-6.527,4.61